# 1
Below is Na3SmB2O6 after structural relaxation, with properties calculated at the PBE level.

Cell lengths 6.530, 8.674, 11.969 Å; angles 90.00, 122.70, 90.00 degrees
Atoms (fractional coordinates):
Na1 0.077 0.185 0.102
Na2 0.077 0.315 0.602
Na3 0.079 0.057 0.386
Na4 0.079 0.443 0.886
Na5 0.334 0.732 0.846
Na6 0.334 0.768 0.346
Na7 0.666 0.232 0.654
Na8 0.666 0.268 0.154
Na9 0.921 0.557 0.114
Na10 0.921 0.943 0.614
Na11 0.923 0.685 0.398
Na12 0.923 0.815 0.898
Sm1 0.489 0.617 0.645
Sm2 0.489 0.883 0.145
Sm3 0.511 0.117 0.855
Sm4 0.511 0.383 0.355
B1 0.082 0.102 0.862
B2 0.082 0.398 0.362
B3 0.370 0.566 0.125
B4 0.370 0.934 0.625
B5 0.630 0.066 0.375
B6 0.630 0.434 0.875
B7 0.918 0.602 0.638
B8 0.918 0.898 0.138
O1 0.116 0.605 0.627
O2 0.116 0.895 0.127
O3 0.121 0.217 0.796
O4 0.121 0.283 0.296
O5 0.251 0.519 0.414
O6 0.251 0.981 0.914
O7 0.289 0.083 0.615
O8 0.289 0.417 0.115
O9 0.321 0.652 0.016
O10 0.321 0.848 0.516
O11 0.497 0.634 0.250
O12 0.497 0.866 0.750
O13 0.503 0.134 0.250
O14 0.503 0.366 0.750
O15 0.679 0.152 0.484
O16 0.679 0.348 0.984
O17 0.711 0.583 0.885
O18 0.711 0.917 0.385
O19 0.749 0.019 0.086
O20 0.749 0.481 0.586
O21 0.879 0.717 0.704
O22 0.879 0.783 0.204
O23 0.884 0.105 0.873
O24 0.884 0.395 0.373

Calculated values
Size of the total moment, μB per atom: 0.000
Symmetry: P2_1/c

=====

# 2
Below is Na2ZnB2O5 after structural relaxation, with properties calculated at the PBE level.

Cell lengths 5.308, 5.308, 8.861 Å; angles 96.54, 96.54, 113.54 degrees
Atoms (fractional coordinates):
Na1 0.178 0.773 0.921
Na2 0.227 0.822 0.579
Na3 0.773 0.178 0.421
Na4 0.822 0.227 0.079
Zn1 0.200 0.800 0.250
Zn2 0.800 0.200 0.750
B1 0.333 0.357 0.335
B2 0.357 0.333 0.835
B3 0.643 0.667 0.165
B4 0.667 0.643 0.665
O1 0.129 0.299 0.905
O2 0.151 0.477 0.345
O3 0.299 0.129 0.405
O4 0.446 0.554 0.750
O5 0.477 0.151 0.845
O6 0.523 0.849 0.155
O7 0.554 0.446 0.250
O8 0.701 0.871 0.595
O9 0.849 0.523 0.655
O10 0.871 0.701 0.095

Calculated values
Symmetry: C2/c

=====

# 3
Below is NaB4Os after structural relaxation, with properties calculated at the PBE level.

Cell lengths 4.524, 4.524, 4.524 Å; angles 140.94, 108.79, 84.34 degrees
Atoms (fractional coordinates):
Na1 0.000 0.000 0.000
B1 0.089 0.747 0.342
B2 0.405 0.747 0.658
B3 0.595 0.253 0.342
B4 0.911 0.253 0.658
Os1 0.500 0.500 0.000

Calculated values
E above lowest polymorph, eV per formula unit: 0.03
Size of the total moment, μB per atom: 0.000
Symmetry: Immm

=====

The raw total energy results, record by record, are as follows: -325.3 -125.4 -37.8 eV per cell.